Compound: RbCo2Ge2
Source: Alexandria via LeMat-Bulk
Functional: PBE
Structure: optimized geometry Values from VASP.

Calculated values
Size of the total moment, μB per atom: 0.000
Energy of formation from the pure elements, eV/atom: 0.307

```
&SYSTEM
  ibrav = 0, nat = 5, ntyp = 3
/
ATOMIC_SPECIES
Rb 85.47 Rb.upf
Co 58.93 Co.upf
Ge 72.64 Ge.upf
ATOMIC_POSITIONS crystal
Rb 0.000 0.000 0.000
Co 0.342 0.342 0.000
Co 0.658 0.658 0.000
Ge 0.250 0.750 0.500
Ge 0.750 0.250 0.500
CELL_PARAMETERS angstrom
-2.049 2.049 6.399
2.049 -2.049 6.399
2.049 2.049 -6.399
```